1.
Crystalline BaMo2Pt at its relaxed geometry. Source: Alexandria via LeMat-Bulk, functional PBE-GGA.

The symmetry is P4mm. As for the crystal system: tetragonal.

Unit cell a=3.2933 b=3.2933 c=7.9947 alpha=90.00 beta=90.00 gamma=90.00
Positions (direct):
Ba  0.0000  0.0000  0.0000
Mo  0.0000  0.0000  0.4993
Mo  0.5000  0.5000  0.3459
Pt  0.5000  0.5000  0.7005



2.
Crystalline BaMo2Pt at its relaxed geometry. Source: Alexandria via LeMat-Bulk, functional PBE-GGA.

The symmetry is Fm-3m. As for the crystal system: cubic.

Unit cell a=6.7215 b=6.7215 c=6.7215 alpha=90.00 beta=90.00 gamma=90.00
Positions (direct):
Ba  0.0000  0.0000  0.0000
Ba  0.0000  0.5000  0.5000
Ba  0.5000  0.0000  0.5000
Ba  0.5000  0.5000  0.0000
Mo  0.2500  0.2500  0.2500
Mo  0.2500  0.2500  0.7500
Mo  0.2500  0.7500  0.2500
Mo  0.2500  0.7500  0.7500
Mo  0.7500  0.2500  0.2500
Mo  0.7500  0.2500  0.7500
Mo  0.7500  0.7500  0.2500
Mo  0.7500  0.7500  0.7500
Pt  0.0000  0.0000  0.5000
Pt  0.0000  0.5000  0.0000
Pt  0.5000  0.0000  0.0000
Pt  0.5000  0.5000  0.5000



no.,energy of formation (eV per atom)
1,0.31
2,1.02